This record from Alexandria describes an optimized crystal structure of NdSmErTm2. The functional is PBE-GGA.

abc: 6.3729 16.6353 6.3679
angles: 90.00 90.00 90.00
Closest atoms and distances in Å follow each position.
Space group Cmcm (No. 63)
Asymmetric unit:
Nd  0.0000  0.1577  0.2500  1 Sm 3.09, 4 Tm 3.46
Sm  0.0000  0.3435  0.2500  1 Nd 3.09, 4 Tm 3.44
Er  0.0000  0.2452  0.7500  4 Nd 3.50-3.57, 4 Sm 3.51-3.58
Tm  0.2494  0.0000  0.0000  4 Tm 3.18-3.19, 2 Sm 3.44, 2 Nd 3.46

Results
magnetic moment: 0.0 μB per formula unit
calculated total energy: -84.90 eV for the cell shown
D(E_F): 1.60 states/eV/atom
ΔE_f: 354 meV per atom

***

This record from Alexandria describes an optimized crystal structure of CaInFe2Sn. The functional is PBE-GGA.

abc: 4.7880 4.7880 5.5930
angles: 90.00 90.00 90.00
Closest atoms and distances in Å follow each position.
Space group P4/mmm (No. 123)
Asymmetric unit:
Ca  0.0000  0.0000  0.0000  2 Sn 2.80
In  0.5000  0.5000  0.0000  4 Ca 3.39, 8 Fe 3.68
Fe  0.0000  0.5000  0.5000  2 Sn 2.39
Sn  0.0000  0.0000  0.5000  4 Fe 2.39

Results
magnetic moment: 0.5 μB per formula unit
calculated total energy: -20.06 eV for the cell shown
energy relative to the lowest polymorph listed for this composition: 0.000 eV per atom
D(E_F): 2.62 states/eV/atom
ΔE_f: 1122 meV per atom

***

This record from Alexandria describes an optimized crystal structure of Nd4MgSc3. The functional is PBE-GGA.

abc: 7.2401 7.2422 9.7061
angles: 90.00 111.81 90.00
Closest atoms and distances in Å follow each position.
Space group C2/m (No. 12)
Asymmetric unit:
Nd  0.1248  0.2501  0.2500  6 Sc 3.38-3.44, 2 Mg 3.41, 4 Nd 3.62
Mg  0.0000  0.0000  0.5000  8 Nd 3.41, 4 Sc 3.62
Sc  0.0000  0.5000  0.5000  8 Nd 3.41, 4 Mg 3.62
Sc  0.2482  0.5000  0.9958  8 Nd 3.38-3.44, 4 Sc 3.62

Results
magnetic moment: 0.0 μB per formula unit
calculated total energy: -78.77 eV for the cell shown
D(E_F): 1.43 states/eV/atom
ΔE_f: 34 meV per atom

***

This record from Alexandria describes an optimized crystal structure of CsAlSn2S6. The functional is PBE-GGA.

abc: 13.4425 14.9183 7.3362
angles: 90.00 115.18 90.00
Closest atoms and distances in Å follow each position.
Space group C2/c (No. 15)
Asymmetric unit:
Cs  0.0000  0.1043  0.2500  6 S 3.47-3.57
Al  0.0000  0.2308  0.7500  4 S 2.23-2.31
Sn  0.1907  0.4180  0.1299  4 S 2.42-2.51
S  0.0474  0.3056  0.0374  1 Al 2.23, 1 Sn 2.42
S  0.1160  0.1132  0.7716  1 Al 2.31, 1 Sn 2.43
S  0.1653  0.4414  0.4462  2 Sn 2.44-2.51

Results
magnetic moment: 0.0 μB per formula unit
calculated total energy: -173.68 eV for the cell shown
ΔE_f (raw): -605 meV per atom

***

This record from Alexandria describes an optimized crystal structure of LaTcBr2. The functional is PBE-GGA.

abc: 4.2696 4.2696 10.6656
angles: 90.00 90.00 90.00
Closest atoms and distances in Å follow each position.
Space group I-4m2 (No. 119)
Asymmetric unit:
La  0.0000  0.0000  0.0000  4 Br 3.02
Tc  0.0000  0.5000  0.7500  4 Br 3.02
Br  0.0000  0.0000  0.5000  4 La 3.02
Br  0.0000  0.5000  0.2500  4 Tc 3.02

Results
magnetic moment: 2.5 μB per formula unit
calculated total energy: -37.98 eV for the cell shown
ΔE_f (raw): -87 meV per atom
energy relative to the lowest polymorph listed for this composition: 0.474 eV per atom
D(E_F): 1.15 states/eV/atom

***

This record from Alexandria describes an optimized crystal structure of Na8Cd5Hg. The functional is PBE-GGA.

abc: 10.2685 10.2685 7.7776
angles: 90.00 90.00 90.00
Closest atoms and distances in Å follow each position.
Space group I-4 (No. 82)
Asymmetric unit:
Na  0.0000  0.1725  0.1735  1 Hg 3.10, 2 Cd 3.14-3.42, 2 Na 3.41-3.42
Na  0.1586  0.2631  0.5398  4 Cd 3.12-3.41, 1 Hg 3.17, 2 Na 3.41-3.42
Cd  0.0000  0.5000  0.2500  4 Cd 3.14, 4 Na 3.42
Cd  0.0900  0.3775  0.8995  5 Na 3.12-3.41, 4 Cd 3.12-3.21
Hg  0.0000  0.0000  0.5000  8 Na 3.10-3.17

Results
magnetic moment: 0.0 μB per formula unit
calculated total energy: -32.07 eV for the cell shown
D(E_F): 0.35 states/eV/atom
ΔE_f: -43 meV per atom

***

This record from Alexandria describes an optimized crystal structure of CeNd2Se4. The functional is PBE-GGA.

abc: 8.4717 8.4878 11.7961
angles: 90.00 90.00 90.00
Closest atoms and distances in Å follow each position.
Space group Imma (No. 74)
Asymmetric unit:
Ce  0.2500  0.2500  0.2500  6 Se 2.94-2.99
Nd  0.0000  0.0000  0.0000  6 Se 2.97-3.00
Nd  0.2500  0.2500  0.7500  6 Se 2.96-3.00
Se  0.0000  0.0006  0.2541  2 Ce 2.99, 3 Nd 3.00
Se  0.2449  0.2500  0.0010  1 Ce 2.94, 3 Nd 2.96-2.97

Results
magnetic moment: 1.2 μB per formula unit
calculated total energy: -169.39 eV for the cell shown
ΔE_f (raw): -1849 meV per atom
energy relative to the lowest polymorph listed for this composition: 0.000 eV per atom
D(E_F): 1.17 states/eV/atom